# 1
Below is crystalline Zr2CdReO at its relaxed geometry, with properties calculated at the GGA-PBEsol level.

Geometry as CIF:
```
data_Zr2CdReO
_space_group_name_H-M_alt 'P 1'
_space_group_IT_number 1
_cell_length_a 4.113
_cell_length_b 4.421
_cell_length_c 4.421
_cell_angle_alpha 90.00
_cell_angle_beta 90.00
_cell_angle_gamma 90.00
loop_
_space_group_symop_operation_xyz
'x,y,z'
loop_
_atom_site_label
_atom_site_type_symbol
_atom_site_fract_x
_atom_site_fract_y
_atom_site_fract_z
_atom_site_occupancy
Re1 Re 0.500 0.000 0.000 1
O1 O 0.000 0.000 0.000 1
Zr1 Zr 0.000 0.000 0.500 1
Zr2 Zr 0.000 0.500 0.000 1
Cd1 Cd 0.500 0.500 0.500 1
```

Calculated values
Formation energy from raw total energies: -16.54 kcal/mol of atoms
V: 16.1 A^3/atom
Calculated density: 10.27 g/cm3

***

# 2
Below is crystalline Sm3B2O6F3 at its relaxed geometry, with properties calculated at the GGA-PBEsol level.

Geometry as CIF:
```
data_Sm3B2O6F3
_space_group_name_H-M_alt 'P 1'
_space_group_IT_number 1
_cell_length_a 6.212
_cell_length_b 7.065
_cell_length_c 8.308
_cell_angle_alpha 96.46
_cell_angle_beta 90.00
_cell_angle_gamma 116.08
loop_
_space_group_symop_operation_xyz
'x,y,z'
loop_
_atom_site_label
_atom_site_type_symbol
_atom_site_fract_x
_atom_site_fract_y
_atom_site_fract_z
_atom_site_occupancy
B1 B 0.590 0.361 0.522 1
B2 B 0.410 0.639 0.478 1
B3 B 0.229 0.639 0.978 1
B4 B 0.771 0.361 0.022 1
O1 O 0.453 0.701 0.643 1
O2 O 0.547 0.299 0.357 1
O3 O 0.752 0.299 0.857 1
O4 O 0.248 0.701 0.143 1
O5 O 0.297 0.478 0.924 1
O6 O 0.703 0.522 0.076 1
O7 O 0.819 0.522 0.576 1
O8 O 0.181 0.478 0.424 1
O9 O 0.421 0.301 0.637 1
O10 O 0.579 0.699 0.363 1
O11 O 0.119 0.699 0.863 1
O12 O 0.881 0.301 0.137 1
Sm1 Sm 0.715 0.644 0.821 1
Sm2 Sm 0.285 0.356 0.179 1
Sm3 Sm 0.071 0.356 0.679 1
Sm4 Sm 0.929 0.644 0.321 1
Sm5 Sm 0.400 0.000 0.750 1
Sm6 Sm 0.600 0.000 0.250 1
F1 F 0.021 0.000 0.750 1
F2 F 0.979 0.000 0.250 1
F3 F 0.725 0.104 0.541 1
F4 F 0.275 0.896 0.459 1
F5 F 0.622 0.896 0.959 1
F6 F 0.378 0.104 0.041 1
```

Calculated values
Formation energy from raw total energies: -78.56 kcal/mol of atoms
V: 11.6 A^3/atom
Calculated density: 6.40 g/cm3

***

# 3
Below is crystalline SrYRh3 at its relaxed geometry, with properties calculated at the GGA-PBEsol level.

Geometry as CIF:
```
data_SrYRh3
_space_group_name_H-M_alt 'P 1'
_space_group_IT_number 1
_cell_length_a 4.801
_cell_length_b 4.801
_cell_length_c 4.801
_cell_angle_alpha 90.00
_cell_angle_beta 90.00
_cell_angle_gamma 90.00
loop_
_space_group_symop_operation_xyz
'x,y,z'
loop_
_atom_site_label
_atom_site_type_symbol
_atom_site_fract_x
_atom_site_fract_y
_atom_site_fract_z
_atom_site_occupancy
Y1 Y 0.500 0.500 0.500 1
Sr1 Sr 0.000 0.000 0.000 1
Rh1 Rh 0.000 0.500 0.000 1
Rh2 Rh 0.000 0.000 0.500 1
Rh3 Rh 0.500 0.000 0.000 1
```

Calculated values
Formation energy: 1.077 eV per atom
V: 22.1 A^3/atom
Calculated density: 7.28 g/cm3

***

# 4
Below is crystalline BAs5Pb6O20 at its relaxed geometry, with properties calculated at the GGA-PBEsol level.

Geometry as CIF:
```
data_BAs5Pb6O20
_space_group_name_H-M_alt 'P 1'
_space_group_IT_number 1
_cell_length_a 7.230
_cell_length_b 7.230
_cell_length_c 9.694
_cell_angle_alpha 90.00
_cell_angle_beta 90.00
_cell_angle_gamma 90.00
loop_
_space_group_symop_operation_xyz
'x,y,z'
loop_
_atom_site_label
_atom_site_type_symbol
_atom_site_fract_x
_atom_site_fract_y
_atom_site_fract_z
_atom_site_occupancy
B1 B 0.500 0.500 0.000 1
As1 As 0.726 0.700 0.198 1
As2 As 0.274 0.300 0.198 1
As3 As 0.300 0.726 0.802 1
As4 As 0.000 0.000 0.500 1
As5 As 0.700 0.274 0.802 1
Pb1 Pb 0.000 0.500 0.469 1
Pb2 Pb 0.163 0.223 0.826 1
Pb3 Pb 0.837 0.777 0.826 1
Pb4 Pb 0.500 0.000 0.531 1
Pb5 Pb 0.223 0.837 0.174 1
Pb6 Pb 0.777 0.163 0.174 1
O1 O 0.781 0.495 0.275 1
O2 O 0.667 0.459 0.919 1
O3 O 0.077 0.822 0.398 1
O4 O 0.495 0.219 0.725 1
O5 O 0.641 0.865 0.303 1
O6 O 0.100 0.205 0.101 1
O7 O 0.923 0.178 0.398 1
O8 O 0.178 0.077 0.602 1
O9 O 0.865 0.359 0.697 1
O10 O 0.219 0.505 0.275 1
O11 O 0.459 0.333 0.081 1
O12 O 0.541 0.667 0.081 1
O13 O 0.795 0.100 0.899 1
O14 O 0.359 0.135 0.303 1
O15 O 0.135 0.641 0.697 1
O16 O 0.900 0.795 0.101 1
O17 O 0.205 0.900 0.899 1
O18 O 0.333 0.541 0.919 1
O19 O 0.505 0.781 0.725 1
O20 O 0.822 0.923 0.602 1
```

Calculated values
Formation energy from raw total energies: -31.75 kcal/mol of atoms
V: 15.8 A^3/atom
Calculated density: 6.39 g/cm3

***

# 5
Below is crystalline Ca2ScInW at its relaxed geometry, with properties calculated at the GGA-PBEsol level.

Geometry as CIF:
```
data_Ca2ScInW
_space_group_name_H-M_alt 'P 1'
_space_group_IT_number 1
_cell_length_a 5.237
_cell_length_b 5.237
_cell_length_c 5.348
_cell_angle_alpha 90.00
_cell_angle_beta 90.00
_cell_angle_gamma 90.00
loop_
_space_group_symop_operation_xyz
'x,y,z'
loop_
_atom_site_label
_atom_site_type_symbol
_atom_site_fract_x
_atom_site_fract_y
_atom_site_fract_z
_atom_site_occupancy
Sc1 Sc 0.500 0.500 0.500 1
Ca1 Ca 0.000 0.500 0.000 1
Ca2 Ca 0.500 0.000 0.000 1
W1 W 0.000 0.000 0.000 1
In1 In 0.000 0.000 0.500 1
```

Calculated values
Formation energy: 1.039 eV per atom
V: 29.3 A^3/atom
Calculated density: 4.80 g/cm3

***

# 6
Below is crystalline HgMo2Pt at its relaxed geometry, with properties calculated at the GGA-PBEsol level.

Geometry as CIF:
```
data_HgMo2Pt
_space_group_name_H-M_alt 'P 1'
_space_group_IT_number 1
_cell_length_a 2.749
_cell_length_b 2.749
_cell_length_c 8.466
_cell_angle_alpha 90.00
_cell_angle_beta 90.00
_cell_angle_gamma 90.00
loop_
_space_group_symop_operation_xyz
'x,y,z'
loop_
_atom_site_label
_atom_site_type_symbol
_atom_site_fract_x
_atom_site_fract_y
_atom_site_fract_z
_atom_site_occupancy
Hg1 Hg 0.500 0.500 0.500 1
Mo1 Mo 0.000 0.000 0.764 1
Mo2 Mo 0.000 0.000 0.236 1
Pt1 Pt 0.500 0.500 0.000 1
```

Calculated values
Formation energy: 0.148 eV per atom
V: 16.0 A^3/atom
Calculated density: 15.25 g/cm3

***

# 7
Below is crystalline KNaGeCl2 at its relaxed geometry, with properties calculated at the GGA-PBEsol level.

Geometry as CIF:
```
data_KNaGeCl2
_space_group_name_H-M_alt 'P 1'
_space_group_IT_number 1
_cell_length_a 5.299
_cell_length_b 5.299
_cell_length_c 6.161
_cell_angle_alpha 90.00
_cell_angle_beta 90.00
_cell_angle_gamma 90.00
loop_
_space_group_symop_operation_xyz
'x,y,z'
loop_
_atom_site_label
_atom_site_type_symbol
_atom_site_fract_x
_atom_site_fract_y
_atom_site_fract_z
_atom_site_occupancy
Na1 Na 0.500 0.500 0.500 1
Ge1 Ge 0.000 0.000 0.000 1
K1 K 0.000 0.000 0.500 1
Cl1 Cl 0.000 0.500 0.000 1
Cl2 Cl 0.500 0.000 0.000 1
```

Calculated values
Formation energy from raw total energies: -9.17 kcal/mol of atoms
V: 34.6 A^3/atom
Calculated density: 1.97 g/cm3

***

# 8
Below is crystalline MgP2O at its relaxed geometry, with properties calculated at the GGA-PBEsol level.

Geometry as CIF:
```
data_MgP2O
_space_group_name_H-M_alt 'P 1'
_space_group_IT_number 1
_cell_length_a 4.566
_cell_length_b 4.566
_cell_length_c 7.175
_cell_angle_alpha 108.55
_cell_angle_beta 108.55
_cell_angle_gamma 90.00
loop_
_space_group_symop_operation_xyz
'x,y,z'
loop_
_atom_site_label
_atom_site_type_symbol
_atom_site_fract_x
_atom_site_fract_y
_atom_site_fract_z
_atom_site_occupancy
P1 P 0.703 0.375 0.250 1
P2 P 0.547 0.875 0.250 1
P3 P 0.625 0.453 0.750 1
P4 P 0.125 0.297 0.750 1
Mg1 Mg 0.250 0.750 0.500 1
Mg2 Mg 0.000 0.000 0.000 1
O1 O 0.750 0.250 0.500 1
O2 O 0.500 0.500 0.000 1
```

Calculated values
Formation energy from raw total energies: -3.54 kcal/mol of atoms
V: 16.7 A^3/atom
Calculated density: 2.54 g/cm3

***

# 9
Below is crystalline AlInFe2 at its relaxed geometry, with properties calculated at the GGA-PBEsol level.

Geometry as CIF:
```
data_AlInFe2
_space_group_name_H-M_alt 'P 1'
_space_group_IT_number 1
_cell_length_a 2.998
_cell_length_b 4.190
_cell_length_c 4.190
_cell_angle_alpha 90.00
_cell_angle_beta 90.00
_cell_angle_gamma 90.00
loop_
_space_group_symop_operation_xyz
'x,y,z'
loop_
_atom_site_label
_atom_site_type_symbol
_atom_site_fract_x
_atom_site_fract_y
_atom_site_fract_z
_atom_site_occupancy
Al1 Al 0.500 0.000 0.000 1
Fe1 Fe 0.000 0.000 0.500 1
Fe2 Fe 0.000 0.500 0.000 1
In1 In 0.500 0.500 0.500 1
```

Calculated values
Formation energy: 0.083 eV per atom
V: 13.2 A^3/atom
Calculated density: 8.00 g/cm3

***

# 10
Below is crystalline TlGa3O at its relaxed geometry, with properties calculated at the GGA-PBEsol level.

Geometry as CIF:
```
data_TlGa3O
_space_group_name_H-M_alt 'P 1'
_space_group_IT_number 1
_cell_length_a 4.494
_cell_length_b 4.494
_cell_length_c 4.494
_cell_angle_alpha 90.00
_cell_angle_beta 90.00
_cell_angle_gamma 90.00
loop_
_space_group_symop_operation_xyz
'x,y,z'
loop_
_atom_site_label
_atom_site_type_symbol
_atom_site_fract_x
_atom_site_fract_y
_atom_site_fract_z
_atom_site_occupancy
Tl1 Tl 0.500 0.500 0.500 1
O1 O 0.000 0.000 0.000 1
Ga1 Ga 0.000 0.500 0.000 1
Ga2 Ga 0.000 0.000 0.500 1
Ga3 Ga 0.500 0.000 0.000 1
```

Calculated values
Formation energy from raw total energies: -3.50 kcal/mol of atoms
V: 18.2 A^3/atom
Calculated density: 7.86 g/cm3

***

# 11
Below is crystalline CaNb2Rh2 at its relaxed geometry, with properties calculated at the GGA-PBEsol level.

Geometry as CIF:
```
data_CaNb2Rh2
_space_group_name_H-M_alt 'P 1'
_space_group_IT_number 1
_cell_length_a 4.415
_cell_length_b 4.415
_cell_length_c 6.009
_cell_angle_alpha 111.55
_cell_angle_beta 111.55
_cell_angle_gamma 90.00
loop_
_space_group_symop_operation_xyz
'x,y,z'
loop_
_atom_site_label
_atom_site_type_symbol
_atom_site_fract_x
_atom_site_fract_y
_atom_site_fract_z
_atom_site_occupancy
Nb1 Nb 0.250 0.750 0.500 1
Nb2 Nb 0.750 0.250 0.500 1
Rh1 Rh 0.374 0.374 0.748 1
Rh2 Rh 0.626 0.626 0.252 1
Ca1 Ca 0.000 0.000 0.000 1
```

Calculated values
Formation energy: -0.210 eV per atom
V: 20.0 A^3/atom
Calculated density: 7.16 g/cm3

***

# 12
Below is crystalline SrCrIr2 at its relaxed geometry, with properties calculated at the GGA-PBEsol level.

Geometry as CIF:
```
data_SrCrIr2
_space_group_name_H-M_alt 'P 1'
_space_group_IT_number 1
_cell_length_a 2.894
_cell_length_b 4.938
_cell_length_c 4.938
_cell_angle_alpha 106.20
_cell_angle_beta 90.00
_cell_angle_gamma 90.00
loop_
_space_group_symop_operation_xyz
'x,y,z'
loop_
_atom_site_label
_atom_site_type_symbol
_atom_site_fract_x
_atom_site_fract_y
_atom_site_fract_z
_atom_site_occupancy
Cr1 Cr 0.500 0.500 0.500 1
Ir1 Ir 0.000 0.500 0.000 1
Ir2 Ir 0.000 0.000 0.500 1
Sr1 Sr 0.500 0.000 0.000 1
```

Calculated values
Formation energy: 0.552 eV per atom
V: 16.9 A^3/atom
Calculated density: 12.84 g/cm3

***

Computed density of states at the Fermi level, in the same sequence as the records: 3.6; 0.0; 2.4; 0.0; 6.1; 3.4; 1.2; 1.6; 4.5; 2.7; 2.2; 3.6 states/eV per cell.